1.
! TbGdMgCd (GGA-PBE, optimized geometry); values from VASP
&SYSTEM
  ibrav = 0, nat = 4, ntyp = 4
/
ATOMIC_SPECIES
Gd 157.25 Gd.upf
Mg 24.30 Mg.upf
Cd 112.41 Cd.upf
Tb 158.93 Tb.upf
ATOMIC_POSITIONS angstrom
Gd 0.0000 0.0000 0.0000
Mg -3.0181 1.2165 0.3722
Cd -9.0543 3.6494 1.1165
Tb -6.0362 2.4329 0.7443
CELL_PARAMETERS angstrom
-3.8837 2.8377 -2.3388
-5.1259 -1.2346 0.8984
-3.0628 3.2627 2.9291
! Total DFT energy (no corrections): -0.2029 hartree per atom
! Energy relative to the elements: -0.22 eV per atom
! Crystal system: cubic

2.
! LiThRu2 (GGA-PBE, optimized geometry); values from VASP
&SYSTEM
  ibrav = 0, nat = 4, ntyp = 3
/
ATOMIC_SPECIES
Li 6.94 Li.upf
Th 232.04 Th.upf
Ru 101.07 Ru.upf
ATOMIC_POSITIONS angstrom
Li 1.9665 2.0971 2.0971
Th 1.9665 0.0000 0.0000
Ru 0.0000 0.0000 2.0971
Ru 0.0000 2.0971 0.0000
CELL_PARAMETERS angstrom
3.9330 0.0000 0.0000
0.0000 4.1942 0.0000
0.0000 0.0000 4.1942
! Total DFT energy (no corrections): -0.2595 hartree per atom
! Energy relative to the elements: -0.09 eV per atom
! Crystal system: tetragonal